1.
A plane-wave DFT calculation with PBE was carried out for a relaxed K2RbPPt crystal.

a b c (Å): 6.4787 6.4787 4.4645
angles (deg): 90.00 90.00 90.00
Sites, in units of the cell vectors:
K (0.0000, 0.5000, 0.0000)
K (0.5000, 0.0000, 0.0000)
Rb (0.0000, 0.0000, 0.5000)
P (0.5000, 0.5000, 0.0000)
Pt (0.5000, 0.5000, 0.5000)

Total magnetic moment (μB per formula unit): 0.0
Crystal system: tetragonal
Offset from the most stable computed form (meV/atom): 0



2.
A plane-wave DFT calculation with PBE was carried out for a relaxed KPPtRh crystal.

a b c (Å): 3.8286 3.8286 12.2711
angles (deg): 90.00 90.00 90.00
Sites, in units of the cell vectors:
K (0.2500, 0.2500, 0.2222)
K (0.7500, 0.7500, 0.7778)
P (0.2500, 0.2500, 0.6079)
P (0.7500, 0.7500, 0.3921)
Pt (0.2500, 0.7500, 0.0000)
Pt (0.7500, 0.2500, 0.0000)
Rh (0.2500, 0.7500, 0.5000)
Rh (0.7500, 0.2500, 0.5000)

Total magnetic moment (μB per formula unit): 0.0
Crystal system: tetragonal



Number 1: ΔH_f (0 K) -1.1 eV per formula unit. Number 2: ΔH_f (0 K) -1.7 eV per formula unit.